Record 1
Computed, not measured: a relaxed structure of TaAg3Au at the GGA-PBE level of DFT.

Summary:
Volume = 127 Å³/cell
ΔE_f = 1.452 eV/atom
Space-group type = No. 221
Relative energy among the computed polymorphs = 0 meV/atom

Lattice parameters (Å, degrees): 5.0257 5.0257 5.0257 90.00 90.00 90.00
Positions (direct):
Ta (0.0000, 0.0000, 0.0000)
Ag (0.0000, 0.5000, 0.5000)
Ag (0.5000, 0.0000, 0.5000)
Ag (0.5000, 0.5000, 0.0000)
Au (0.5000, 0.5000, 0.5000)



Record 2
Computed, not measured: a relaxed structure of TaAg4Au at the GGA-PBE level of DFT.

Summary:
Volume = 109 Å³/cell
ΔE_f = 0.469 eV/atom
Space-group type = No. 216

Lattice parameters (Å, degrees): 5.3550 5.3550 5.3550 60.00 60.00 60.00
Positions (direct):
Ta (0.0000, 0.0000, 0.0000)
Ag (0.1246, 0.6251, 0.6251)
Ag (0.6251, 0.1246, 0.6251)
Ag (0.6251, 0.6251, 0.1246)
Ag (0.6251, 0.6251, 0.6251)
Au (0.2500, 0.2500, 0.2500)



- Among the records above, which one has the highest volume?
  TaAg3Au



Repeat the first record exactly.
Computed, not measured: a relaxed structure of TaAg3Au at the GGA-PBE level of DFT.

Summary:
Volume = 127 Å³/cell
ΔE_f = 1.452 eV/atom
Space-group type = No. 221
Relative energy among the computed polymorphs = 0 meV/atom

Lattice parameters (Å, degrees): 5.0257 5.0257 5.0257 90.00 90.00 90.00
Positions (direct):
Ta (0.0000, 0.0000, 0.0000)
Ag (0.0000, 0.5000, 0.5000)
Ag (0.5000, 0.0000, 0.5000)
Ag (0.5000, 0.5000, 0.0000)
Au (0.5000, 0.5000, 0.5000)